No. 1
# LaThCdAg | Alexandria via LeMat-Bulk | PBE | relaxed
data_LaThCdAg
_chemical_formula_sum 'La4 Th4 Cd4 Ag4'
_space_group_name_H-M_alt 'F -4 3 m'
_space_group_IT_number 216
_space_group_name_Hall 'F -4 2 3'
_cell_length_a 7.6661
_cell_length_b 7.6661
_cell_length_c 7.6661
_cell_angle_alpha 90.00
_cell_angle_beta 90.00
_cell_angle_gamma 90.00
loop_
_atom_site_label
_atom_site_type_symbol
_atom_site_fract_x
_atom_site_fract_y
_atom_site_fract_z
_atom_site_occupancy
La1 La 0.0000 0.0000 0.0000 1
Th1 Th 0.0000 0.0000 0.5000 1
Cd1 Cd 0.2500 0.2500 0.7500 1
Ag1 Ag 0.2500 0.2500 0.2500 1
# uncorrected energy = -66.386 eV for the cell shown
# crystal system = cubic
# total magnetization = 0.12 μB/f.u.
# density of states at the Fermi level = 1.274 states/eV per atom
# formation energy = -0.12 eV/atom

---

No. 2
# La4TlCd2Ag | Alexandria via LeMat-Bulk | PBE | relaxed
data_La4TlCd2Ag
_chemical_formula_sum 'La12 Tl3 Cd6 Ag3'
_space_group_name_H-M_alt 'R -3 m'
_space_group_IT_number 166
_space_group_name_Hall '-R 3 2"'
_cell_length_a 5.5394
_cell_length_b 5.5394
_cell_length_c 27.1947
_cell_angle_alpha 90.00
_cell_angle_beta 90.00
_cell_angle_gamma 120.00
loop_
_atom_site_label
_atom_site_type_symbol
_atom_site_fract_x
_atom_site_fract_y
_atom_site_fract_z
_atom_site_occupancy
La1 La 0.0000 0.0000 0.1216 1
La2 La 0.0000 0.0000 0.3719 1
Tl1 Tl 0.0000 0.0000 0.5000 1
Cd1 Cd 0.0000 0.0000 0.2478 1
Ag1 Ag 0.0000 0.0000 0.0000 1
# uncorrected energy = -88.182 eV for the cell shown
# crystal system = trigonal
# total magnetization = 1.11 μB/f.u.
# density of states at the Fermi level = 1.179 states/eV per atom
# formation energy = -0.33 eV/atom

---

No. 3
# LaTmCdAg | Alexandria via LeMat-Bulk | PBE | relaxed
data_LaTmCdAg
_chemical_formula_sum 'La1 Tm1 Cd1 Ag1'
_space_group_name_H-M_alt 'P 4 m m'
_space_group_IT_number 99
_cell_length_a 3.7059
_cell_length_b 3.7059
_cell_length_c 7.7259
_cell_angle_alpha 90.00
_cell_angle_beta 90.00
_cell_angle_gamma 90.00
loop_
_space_group_symop_operation_xyz
'x,y,z'
'-y,x,z'
'-x,-y,z'
'y,-x,z'
'-x,y,z'
'y,x,z'
'x,-y,z'
'-y,-x,z'
loop_
_atom_site_label
_atom_site_type_symbol
_atom_site_fract_x
_atom_site_fract_y
_atom_site_fract_z
_atom_site_occupancy
La1 La 0.0000 0.0000 0.0000 1
Tm1 Tm 0.0000 0.0000 0.4818 1
Cd1 Cd 0.5000 0.5000 0.7186 1
Ag1 Ag 0.5000 0.5000 0.2785 1
# uncorrected energy = -14.379 eV for the cell shown
# crystal system = tetragonal
# total magnetization = 0.22 μB/f.u.
# density of states at the Fermi level = 1.065 states/eV per atom
# formation energy = -0.30 eV/atom

---

No. 4
# La2TmCd12Ag3 | Alexandria via LeMat-Bulk | PBE | relaxed
data_La2TmCd12Ag3
_chemical_formula_sum 'La6 Tm3 Cd36 Ag9'
_space_group_name_H-M_alt 'R -3 m'
_space_group_IT_number 166
_space_group_name_Hall '-R 3 2"'
_cell_length_a 8.8174
_cell_length_b 8.8174
_cell_length_c 22.4547
_cell_angle_alpha 90.00
_cell_angle_beta 90.00
_cell_angle_gamma 120.00
loop_
_atom_site_label
_atom_site_type_symbol
_atom_site_fract_x
_atom_site_fract_y
_atom_site_fract_z
_atom_site_occupancy
La1 La 0.0000 0.0000 0.0842 1
Tm1 Tm 0.0000 0.0000 0.5000 1
Cd1 Cd 0.0729 0.5364 0.2695 1
Cd2 Cd 0.0902 0.5451 0.8709 1
Ag1 Ag 0.0000 0.5000 0.0000 1
# uncorrected energy = -96.117 eV for the cell shown
# crystal system = trigonal
# total magnetization = 0.00 μB/f.u.
# density of states at the Fermi level = 0.588 states/eV per atom
# formation energy = 0.10 eV/atom

---

No. 5
# LaTmCdAg | Alexandria via LeMat-Bulk | PBE | relaxed
data_LaTmCdAg
_chemical_formula_sum 'La4 Tm4 Cd4 Ag4'
_space_group_name_H-M_alt 'F -4 3 m'
_space_group_IT_number 216
_space_group_name_Hall 'F -4 2 3'
_cell_length_a 7.5418
_cell_length_b 7.5418
_cell_length_c 7.5418
_cell_angle_alpha 90.00
_cell_angle_beta 90.00
_cell_angle_gamma 90.00
loop_
_atom_site_label
_atom_site_type_symbol
_atom_site_fract_x
_atom_site_fract_y
_atom_site_fract_z
_atom_site_occupancy
La1 La 0.0000 0.0000 0.0000 1
Tm1 Tm 0.0000 0.0000 0.5000 1
Cd1 Cd 0.2500 0.2500 0.2500 1
Ag1 Ag 0.2500 0.2500 0.7500 1
# uncorrected energy = -57.130 eV for the cell shown
# crystal system = cubic
# total magnetization = 0.00 μB/f.u.
# density of states at the Fermi level = 0.701 states/eV per atom
# formation energy = -0.28 eV/atom

---

No. 6
# La2YCd2Ag2 | Alexandria via LeMat-Bulk | PBE | relaxed
data_La2YCd2Ag2
_chemical_formula_sum 'La6 Y3 Cd6 Ag6'
_space_group_name_H-M_alt 'R -3 m'
_space_group_IT_number 166
_space_group_name_Hall '-R 3 2"'
_cell_length_a 4.9241
_cell_length_b 4.9241
_cell_length_c 26.9378
_cell_angle_alpha 90.00
_cell_angle_beta 90.00
_cell_angle_gamma 120.00
loop_
_atom_site_label
_atom_site_type_symbol
_atom_site_fract_x
_atom_site_fract_y
_atom_site_fract_z
_atom_site_occupancy
La1 La 0.0000 0.0000 0.1243 1
Y1 Y 0.0000 0.0000 0.0000 1
Cd1 Cd 0.0000 0.0000 0.2698 1
Ag1 Ag 0.0000 0.0000 0.3910 1
# uncorrected energy = -76.090 eV for the cell shown
# crystal system = trigonal
# total magnetization = 0.00 μB/f.u.
# density of states at the Fermi level = 0.957 states/eV per atom
# formation energy = -0.22 eV/atom

---

No. 7
# LaYCdAg | Alexandria via LeMat-Bulk | PBE | relaxed
data_LaYCdAg
_chemical_formula_sum 'La4 Y4 Cd4 Ag4'
_space_group_name_H-M_alt 'F -4 3 m'
_space_group_IT_number 216
_space_group_name_Hall 'F -4 2 3'
_cell_length_a 7.5944
_cell_length_b 7.5944
_cell_length_c 7.5944
_cell_angle_alpha 90.00
_cell_angle_beta 90.00
_cell_angle_gamma 90.00
loop_
_atom_site_label
_atom_site_type_symbol
_atom_site_fract_x
_atom_site_fract_y
_atom_site_fract_z
_atom_site_occupancy
La1 La 0.0000 0.0000 0.0000 1
Y1 Y 0.0000 0.0000 0.5000 1
Cd1 Cd 0.2500 0.2500 0.2500 1
Ag1 Ag 0.2500 0.2500 0.7500 1
# uncorrected energy = -65.313 eV for the cell shown
# crystal system = cubic
# total magnetization = 0.00 μB/f.u.
# density of states at the Fermi level = 0.795 states/eV per atom
# formation energy = -0.29 eV/atom

---

No. 8
# LaYCdAg | Alexandria via LeMat-Bulk | PBE | relaxed
data_LaYCdAg
_chemical_formula_sum 'La1 Y1 Cd1 Ag1'
_space_group_name_H-M_alt 'P 4 m m'
_space_group_IT_number 99
_cell_length_a 3.7495
_cell_length_b 3.7495
_cell_length_c 7.7294
_cell_angle_alpha 90.00
_cell_angle_beta 90.00
_cell_angle_gamma 90.00
loop_
_space_group_symop_operation_xyz
'x,y,z'
'-y,x,z'
'-x,-y,z'
'y,-x,z'
'-x,y,z'
'y,x,z'
'x,-y,z'
'-y,-x,z'
loop_
_atom_site_label
_atom_site_type_symbol
_atom_site_fract_x
_atom_site_fract_y
_atom_site_fract_z
_atom_site_occupancy
La1 La 0.0000 0.0000 0.0000 1
Y1 Y 0.0000 0.0000 0.4833 1
Cd1 Cd 0.5000 0.5000 0.7236 1
Ag1 Ag 0.5000 0.5000 0.2704 1
# uncorrected energy = -16.398 eV for the cell shown
# crystal system = tetragonal
# total magnetization = 0.22 μB/f.u.
# density of states at the Fermi level = 1.048 states/eV per atom
# formation energy = -0.31 eV/atom

---

No. 9
# La2Zn3CdAg4 | Alexandria via LeMat-Bulk | PBE | relaxed
data_La2Zn3CdAg4
_chemical_formula_sum 'La2 Zn3 Cd1 Ag4'
_space_group_name_H-M_alt 'P -4 m 2'
_space_group_IT_number 115
_cell_length_a 4.2907
_cell_length_b 4.2907
_cell_length_c 12.0425
_cell_angle_alpha 90.00
_cell_angle_beta 90.00
_cell_angle_gamma 90.00
loop_
_space_group_symop_operation_xyz
'x,y,z'
'y,-x,-z'
'-x,-y,z'
'-y,x,-z'
'-x,y,z'
'-y,-x,-z'
'x,-y,z'
'y,x,-z'
loop_
_atom_site_label
_atom_site_type_symbol
_atom_site_fract_x
_atom_site_fract_y
_atom_site_fract_z
_atom_site_occupancy
La1 La 0.0000 0.5000 0.2397 1
Zn1 Zn 0.0000 0.5000 0.8669 1
Zn2 Zn 0.5000 0.5000 0.5000 1
Cd1 Cd 0.0000 0.0000 0.5000 1
Ag1 Ag 0.0000 0.0000 0.0000 1
Ag2 Ag 0.0000 0.5000 0.6500 1
Ag3 Ag 0.5000 0.5000 0.0000 1
# uncorrected energy = -28.326 eV for the cell shown
# crystal system = tetragonal
# total magnetization = 0.00 μB/f.u.
# density of states at the Fermi level = 0.708 states/eV per atom
# formation energy = -0.23 eV/atom

---

No. 10
# La2Zn4CdAg3 | Alexandria via LeMat-Bulk | PBE | relaxed
data_La2Zn4CdAg3
_chemical_formula_sum 'La2 Zn4 Cd1 Ag3'
_space_group_name_H-M_alt 'P -4 m 2'
_space_group_IT_number 115
_cell_length_a 4.2904
_cell_length_b 4.2904
_cell_length_c 11.8515
_cell_angle_alpha 90.00
_cell_angle_beta 90.00
_cell_angle_gamma 90.00
loop_
_space_group_symop_operation_xyz
'x,y,z'
'y,-x,-z'
'-x,-y,z'
'-y,x,-z'
'-x,y,z'
'-y,-x,-z'
'x,-y,z'
'y,x,-z'
loop_
_atom_site_label
_atom_site_type_symbol
_atom_site_fract_x
_atom_site_fract_y
_atom_site_fract_z
_atom_site_occupancy
La1 La 0.0000 0.5000 0.2445 1
Zn1 Zn 0.0000 0.0000 0.0000 1
Zn2 Zn 0.0000 0.5000 0.6438 1
Zn3 Zn 0.5000 0.5000 0.0000 1
Cd1 Cd 0.0000 0.0000 0.5000 1
Ag1 Ag 0.0000 0.5000 0.8645 1
Ag2 Ag 0.5000 0.5000 0.5000 1
# uncorrected energy = -26.968 eV for the cell shown
# crystal system = tetragonal
# total magnetization = 0.00 μB/f.u.
# density of states at the Fermi level = 0.584 states/eV per atom
# formation energy = -0.25 eV/atom

---

No. 11
# LaZn2CdAg5 | Alexandria via LeMat-Bulk | PBE | relaxed
data_LaZn2CdAg5
_chemical_formula_sum 'La1 Zn2 Cd1 Ag5'
_space_group_name_H-M_alt 'P 4/m m m'
_space_group_IT_number 123
_space_group_name_Hall '-P 4 2'
_cell_length_a 4.9881
_cell_length_b 4.9881
_cell_length_c 7.6649
_cell_angle_alpha 90.00
_cell_angle_beta 90.00
_cell_angle_gamma 90.00
loop_
_atom_site_label
_atom_site_type_symbol
_atom_site_fract_x
_atom_site_fract_y
_atom_site_fract_z
_atom_site_occupancy
La1 La 0.0000 0.0000 0.0000 1
Zn1 Zn 0.5000 0.5000 0.3425 1
Cd1 Cd 0.0000 0.0000 0.5000 1
Ag1 Ag 0.0000 0.5000 0.2654 1
Ag2 Ag 0.5000 0.5000 0.0000 1
# uncorrected energy = -22.634 eV for the cell shown
# crystal system = tetragonal
# total magnetization = 0.00 μB/f.u.
# density of states at the Fermi level = 0.441 states/eV per atom
# formation energy = 0.00 eV/atom

---

No. 12
# LaZn2Cd8Ag | Alexandria via LeMat-Bulk | PBE | relaxed
data_LaZn2Cd8Ag
_chemical_formula_sum 'La2 Zn4 Cd16 Ag2'
_space_group_name_H-M_alt 'C 1 2/m 1'
_space_group_IT_number 12
_cell_length_a 8.5076
_cell_length_b 5.6183
_cell_length_c 11.8416
_cell_angle_alpha 90.00
_cell_angle_beta 103.95
_cell_angle_gamma 90.00
loop_
_space_group_symop_operation_xyz
'x,y,z'
'-x,-y,-z'
'-x,y,-z'
'x,-y,z'
'x+1/2,y+1/2,z'
'-x+1/2,-y+1/2,-z'
'-x+1/2,y+1/2,-z'
'x+1/2,-y+1/2,z'
loop_
_atom_site_label
_atom_site_type_symbol
_atom_site_fract_x
_atom_site_fract_y
_atom_site_fract_z
_atom_site_occupancy
La1 La 0.0000 0.0000 0.0000 1
Zn1 Zn 0.1323 0.5000 0.8993 1
Cd1 Cd 0.0323 0.2477 0.2940 1
Cd2 Cd 0.1764 0.5000 0.5407 1
Cd3 Cd 0.2233 0.5000 0.1464 1
Ag1 Ag 0.0000 0.0000 0.5000 1
# uncorrected energy = -37.130 eV for the cell shown
# crystal system = monoclinic
# total magnetization = 0.00 μB/f.u.
# density of states at the Fermi level = 0.359 states/eV per atom
# formation energy = -0.08 eV/atom